SbPdI2N | PBE | relaxed

Geometry as extended XYZ:
```
5
Lattice="5.7028 0.0000 0.0000 0.0000 5.7028 0.0000 0.0000 0.0000 5.0786" Properties=species:S:1:pos:R:3 pbc="T T T"
Sb 0.0000 0.0000 0.0000
Pd 0.0000 0.0000 2.5393
I 0.0000 2.8514 2.5393
I 2.8514 0.0000 2.5393
N 2.8514 2.8514 0.0000
```

Results
Its space group is P4/mmm. For the distance to the lowest polymorph of the same formula, the calculation gives 416 meV/atom. The formation energy (no corrections) is 1.13 eV per atom. The total energy is -3.021 eV/atom.

Si2HgRh | PBE | relaxed

Geometry as extended XYZ:
```
8
Lattice="-3.0091 3.0091 4.9368 3.0091 -3.0091 4.9368 3.0091 3.0091 -4.9368" Properties=species:S:1:pos:R:3 pbc="T T T"
Si 4.5137 1.1948 -1.2342
Si 1.1948 1.5046 1.2342
Si -1.5046 1.8143 3.7026
Si 1.8143 1.5046 6.1710
Hg 3.0091 0.0000 2.4684
Hg 0.0000 0.0000 4.9368
Rh 0.0000 0.0000 0.0000
Rh 0.0000 3.0091 2.4684
```

Results
Its space group is I-42d. The formation energy (no corrections) is 0.20 eV per atom. The total energy is -4.427 eV/atom.

BaLaHg2 | PBE | relaxed

Geometry as extended XYZ:
```
4
Lattice="2.1386 1.2347 9.3749 -2.1386 1.2347 9.3749 0.0000 -2.4695 9.3749" Properties=species:S:1:pos:R:3 pbc="T T T"
Ba 0.0000 0.0000 0.0000
La 0.0000 0.0000 14.0623
Hg 0.0000 0.0000 6.8206
Hg 0.0000 0.0000 21.3041
```

Results
Its space group is R-3m. The total energy is -2.200 eV/atom. For the energy relative to the elements, the calculation gives -0.34 eV per atom.